First-principles (PBE-GGA) data for an optimized crystal structure of HfReIr, as listed in Alexandria via LeMat-Bulk.

abc: 4.3146 5.5934 5.2807
angles: 75.91 65.89 67.31
With the nearest neighbours (Å) after each atom.
Fractional coordinates of all 6 atoms:
1 Ir 0.3326 0.2059 0.1288  3 Re 2.55-2.59, 1 Ir 2.57, 1 Hf 2.70
2 Ir 0.6674 0.7941 0.8712  3 Re 2.55-2.59, 1 Ir 2.57, 1 Hf 2.70
3 Re 0.6535 0.4195 0.2736  1 Re 2.41, 3 Ir 2.55-2.59
4 Re 0.3465 0.5805 0.7264  1 Re 2.41, 3 Ir 2.55-2.59
5 Hf 0.9392 0.8128 0.3087  5 Ir 2.70-3.03, 2 Re 2.98
6 Hf 0.0608 0.1872 0.6913  5 Ir 2.70-3.03, 2 Re 2.98

The value obtained for the density of states at the Fermi level is 2.7 states/eV/f.u. As for the crystal system: monoclinic. The energy of formation from the pure elements is -0.371 eV/atom. As for the spin magnetization: 0.0 μB per formula unit.